(1)
First-principles (GGA-PBE) data for a relaxed Sm3AsSe3 crystal, as listed in the Alexandria database.

Cell: 7.825 7.825 7.825 Å, 66.98 66.98 66.98°
Fractional coordinates of all 14 atoms:
Sm (0.033, 0.793, 0.436)
Sm (0.207, 0.564, 0.967)
Sm (0.436, 0.033, 0.793)
Sm (0.564, 0.967, 0.207)
Sm (0.793, 0.436, 0.033)
Sm (0.967, 0.207, 0.564)
As (0.163, 0.163, 0.163)
As (0.837, 0.837, 0.837)
Se (0.140, 0.394, 0.684)
Se (0.316, 0.860, 0.606)
Se (0.394, 0.684, 0.140)
Se (0.606, 0.316, 0.860)
Se (0.684, 0.140, 0.394)
Se (0.860, 0.606, 0.316)

Properties
Its final energy is -5.854 eV per atom. The calculation puts the uncorrected formation energy at -1.674 eV per atom.

(2)
First-principles (GGA-PBE) data for a relaxed RbSr2SnAs crystal, as listed in the Alexandria database.

Cell: 6.240 6.240 5.591 Å, 90.00 90.00 90.00°
Fractional coordinates of all 5 atoms:
Rb (0.000, 0.000, 0.000)
Sr (0.000, 0.500, 0.000)
Sr (0.500, 0.000, 0.000)
Sn (0.500, 0.500, 0.500)
As (0.000, 0.000, 0.500)

Properties
Its final energy is -1.861 eV per atom. The density of states at the Fermi level is 4.482 states/eV per cell. The calculation puts the energy of formation from the pure elements at 0.74 eV/atom.

(3)
First-principles (GGA-PBE) data for a relaxed CaErHgPd crystal, as listed in the Alexandria database.

Cell: 5.102 5.102 5.102 Å, 60.00 60.00 60.00°
Fractional coordinates of all 4 atoms:
Ca (0.000, 0.000, 0.000)
Er (0.500, 0.500, 0.500)
Hg (0.750, 0.750, 0.750)
Pd (0.250, 0.250, 0.250)

Properties
Its final energy is -3.617 eV per atom. The density of states at the Fermi level is 3.512 states/eV per cell. The calculation puts the energy of formation from the pure elements at -0.60 eV/atom.

(4)
First-principles (GGA-PBE) data for a relaxed HfTi2ReH crystal, as listed in the Alexandria database.

Cell: 3.887 3.887 4.716 Å, 90.00 90.00 90.00°
Fractional coordinates of all 5 atoms:
Hf (0.000, 0.000, 0.000)
Ti (0.000, 0.500, 0.500)
Ti (0.500, 0.000, 0.500)
Re (0.500, 0.500, 0.000)
H (0.000, 0.000, 0.500)

Properties
Its final energy is -8.448 eV per atom. The density of states at the Fermi level is 5.598 states/eV per cell.

(5)
First-principles (GGA-PBE) data for a relaxed Li3CeAu2 crystal, as listed in the Alexandria database.

Cell: 7.437 7.437 9.252 Å, 121.61 121.61 32.78°
Fractional coordinates of all 12 atoms:
Li (0.064, 0.064, 0.407)
Li (0.273, 0.273, 0.429)
Li (0.427, 0.427, 0.316)
Li (0.573, 0.573, 0.684)
Li (0.727, 0.727, 0.571)
Li (0.936, 0.936, 0.593)
Ce (0.126, 0.126, 0.010)
Ce (0.874, 0.874, 0.990)
Au (0.198, 0.198, 0.748)
Au (0.424, 0.424, 0.783)
Au (0.576, 0.576, 0.217)
Au (0.802, 0.802, 0.252)

Properties
Its final energy is -3.485 eV per atom. The density of states at the Fermi level is 17.125 states/eV per cell. The calculation puts the energy of formation from the pure elements at -0.45 eV/atom.

(6)
First-principles (GGA-PBE) data for a relaxed Mn3AlH crystal, as listed in the Alexandria database.

Cell: 6.678 6.678 4.573 Å, 90.46 90.46 101.85°
Fractional coordinates of all 20 atoms:
Mn (0.055, 0.183, 0.083)
Mn (0.068, 0.692, 0.409)
Mn (0.178, 0.559, 0.916)
Mn (0.183, 0.055, 0.583)
Mn (0.308, 0.932, 0.091)
Mn (0.441, 0.822, 0.584)
Mn (0.559, 0.178, 0.416)
Mn (0.692, 0.068, 0.909)
Mn (0.817, 0.945, 0.417)
Mn (0.822, 0.441, 0.084)
Mn (0.932, 0.308, 0.591)
Mn (0.945, 0.817, 0.917)
Al (0.294, 0.431, 0.417)
Al (0.431, 0.294, 0.917)
Al (0.569, 0.706, 0.083)
Al (0.706, 0.569, 0.583)
H (0.062, 0.938, 0.250)
H (0.189, 0.811, 0.750)
H (0.811, 0.189, 0.250)
H (0.938, 0.062, 0.750)

Properties
Its final energy is -6.984 eV per atom. The density of states at the Fermi level is 17.798 states/eV per cell.

(7)
First-principles (GGA-PBE) data for a relaxed LaNd4Sm3 crystal, as listed in the Alexandria database.

Cell: 11.887 7.418 6.412 Å, 90.00 90.00 90.00°
Fractional coordinates of all 16 atoms:
La (0.000, 0.124, 0.000)
La (0.500, 0.876, 0.500)
Nd (0.000, 0.375, 0.498)
Nd (0.000, 0.626, 0.001)
Nd (0.249, 0.625, 0.666)
Nd (0.251, 0.375, 0.166)
Nd (0.500, 0.374, 0.501)
Nd (0.500, 0.625, 0.998)
Nd (0.749, 0.375, 0.166)
Nd (0.751, 0.625, 0.666)
Sm (0.000, 0.875, 0.499)
Sm (0.249, 0.124, 0.667)
Sm (0.251, 0.876, 0.167)
Sm (0.500, 0.125, 0.999)
Sm (0.749, 0.876, 0.167)
Sm (0.751, 0.124, 0.667)

Properties
Its final energy is -4.735 eV per atom. The density of states at the Fermi level is 28.738 states/eV per cell. The calculation puts the energy of formation from the pure elements at 0.03 eV/atom.

(8)
First-principles (GGA-PBE) data for a relaxed NaHO2 crystal, as listed in the Alexandria database.

Cell: 3.739 3.739 3.739 Å, 60.00 60.00 60.00°
Fractional coordinates of all 4 atoms:
Na (0.000, 0.000, 0.000)
H (0.500, 0.500, 0.500)
O (0.250, 0.250, 0.250)
O (0.750, 0.750, 0.750)

Properties
Its final energy is -3.173 eV per atom. The density of states at the Fermi level is 1.346 states/eV per cell.

(9)
First-principles (GGA-PBE) data for a relaxed Rb2PaGaO6 crystal, as listed in the Alexandria database.

Cell: 5.954 5.954 5.954 Å, 60.00 60.00 60.00°
Fractional coordinates of all 10 atoms:
Rb (0.250, 0.250, 0.250)
Rb (0.750, 0.750, 0.750)
Pa (0.000, 0.000, 0.000)
Ga (0.500, 0.500, 0.500)
O (0.257, 0.257, 0.743)
O (0.257, 0.743, 0.257)
O (0.257, 0.743, 0.743)
O (0.743, 0.257, 0.257)
O (0.743, 0.257, 0.743)
O (0.743, 0.743, 0.257)

Properties
Its final energy is -6.474 eV per atom. The density of states at the Fermi level is 3.396 states/eV per cell. The calculation puts the uncorrected formation energy at -2.053 eV per atom.

(10)
First-principles (GGA-PBE) data for a relaxed Mg2Ge2Rh crystal, as listed in the Alexandria database.

Cell: 6.477 6.477 4.167 Å, 90.00 90.00 90.00°
Fractional coordinates of all 10 atoms:
Mg (0.175, 0.325, 0.000)
Mg (0.325, 0.825, 0.000)
Mg (0.675, 0.175, 0.000)
Mg (0.825, 0.675, 0.000)
Ge (0.136, 0.636, 0.500)
Ge (0.364, 0.136, 0.500)
Ge (0.636, 0.864, 0.500)
Ge (0.864, 0.364, 0.500)
Rh (0.000, 0.000, 0.500)
Rh (0.500, 0.500, 0.500)

Properties
Its final energy is -4.353 eV per atom. The density of states at the Fermi level is 2.114 states/eV per cell. The calculation puts the energy of formation from the pure elements at -0.40 eV/atom.

(11)
First-principles (GGA-PBE) data for a relaxed KAl2AgTe4 crystal, as listed in the Alexandria database.

Cell: 7.171 7.171 7.171 Å, 121.96 107.81 99.49°
Fractional coordinates of all 8 atoms:
K (0.000, 0.000, 0.000)
Al (0.337, 0.837, 0.500)
Al (0.663, 0.163, 0.500)
Ag (0.500, 0.500, 0.000)
Te (0.124, 0.093, 0.580)
Te (0.488, 0.907, 0.031)
Te (0.512, 0.544, 0.420)
Te (0.876, 0.456, 0.969)

Properties
Its final energy is -3.225 eV per atom. The calculation puts the uncorrected formation energy at -0.224 eV per atom.

(12)
First-principles (GGA-PBE) data for a relaxed DyNpMn crystal, as listed in the Alexandria database.

Cell: 6.254 6.254 7.460 Å, 90.00 90.00 90.00°
Fractional coordinates of all 12 atoms:
Dy (0.230, 0.230, 0.000)
Dy (0.270, 0.730, 0.250)
Dy (0.730, 0.270, 0.750)
Dy (0.770, 0.770, 0.500)
Np (0.198, 0.198, 0.500)
Np (0.302, 0.698, 0.750)
Np (0.698, 0.302, 0.250)
Np (0.802, 0.802, 0.000)
Mn (0.059, 0.941, 0.750)
Mn (0.441, 0.441, 0.500)
Mn (0.559, 0.559, 0.000)
Mn (0.941, 0.059, 0.250)

Properties
Its final energy is -8.540 eV per atom. The density of states at the Fermi level is 26.943 states/eV per cell. The calculation puts the energy of formation from the pure elements at 0.36 eV/atom.

(13)
First-principles (GGA-PBE) data for a relaxed DyTmLuTl crystal, as listed in the Alexandria database.

Cell: 5.410 5.410 5.410 Å, 60.00 60.00 60.00°
Fractional coordinates of all 4 atoms:
Dy (0.000, 0.000, 0.000)
Tm (0.500, 0.500, 0.500)
Lu (0.750, 0.750, 0.750)
Tl (0.250, 0.250, 0.250)

Properties
Its final energy is -4.012 eV per atom. The density of states at the Fermi level is 6.194 states/eV per cell. The calculation puts the energy of formation from the pure elements at -0.02 eV/atom.

(14)
First-principles (GGA-PBE) data for a relaxed Na3Ce3BeO8 crystal, as listed in the Alexandria database.

Cell: 6.795 6.795 7.021 Å, 120.90 120.90 64.92°
Fractional coordinates of all 15 atoms:
Na (0.000, 0.000, 0.000)
Na (0.000, 0.500, 0.500)
Na (0.500, 0.000, 0.500)
Ce (0.000, 0.500, 0.000)
Ce (0.500, 0.000, 0.000)
Ce (0.500, 0.500, 0.500)
Be (0.000, 0.000, 0.500)
O (0.168, 0.168, 0.697)
O (0.250, 0.250, 0.219)
O (0.269, 0.704, 0.254)
O (0.296, 0.731, 0.746)
O (0.704, 0.269, 0.254)
O (0.731, 0.296, 0.746)
O (0.750, 0.750, 0.781)
O (0.832, 0.832, 0.303)

Properties
Its final energy is -6.879 eV per atom. The density of states at the Fermi level is 7.935 states/eV per cell. The calculation puts the uncorrected formation energy at -2.536 eV per atom.

(15)
First-principles (GGA-PBE) data for a relaxed Ag2H2F5 crystal, as listed in the Alexandria database.

Cell: 8.552 8.552 8.552 Å, 56.08 144.86 137.76°
Fractional coordinates of all 18 atoms:
Ag (0.029, 0.120, 0.150)
Ag (0.029, 0.380, 0.409)
Ag (0.971, 0.620, 0.591)
Ag (0.971, 0.880, 0.850)
H (0.314, 0.134, 0.679)
H (0.455, 0.634, 0.321)
H (0.556, 0.056, 0.500)
H (0.556, 0.556, 0.000)
F (0.038, 0.688, 0.850)
F (0.304, 0.056, 0.595)
F (0.304, 0.209, 0.748)
F (0.342, 0.059, 0.272)
F (0.342, 0.571, 0.783)
F (0.461, 0.556, 0.252)
F (0.461, 0.709, 0.405)
F (0.787, 0.071, 0.728)
F (0.787, 0.559, 0.217)
F (0.838, 0.188, 0.150)

Properties
Its final energy is -3.696 eV per atom. The density of states at the Fermi level is 3.381 states/eV per cell.

(16)
First-principles (GGA-PBE) data for a relaxed MgSiW crystal, as listed in the Alexandria database.

Cell: 3.259 3.259 9.540 Å, 90.00 90.00 90.00°
Fractional coordinates of all 6 atoms:
Mg (0.250, 0.250, 0.112)
Mg (0.750, 0.750, 0.888)
Si (0.250, 0.250, 0.708)
Si (0.750, 0.750, 0.292)
W (0.250, 0.250, 0.414)
W (0.750, 0.750, 0.586)

Properties
Its final energy is -6.662 eV per atom. The density of states at the Fermi level is 2.768 states/eV per cell. The calculation puts the uncorrected formation energy at -0.005 eV per atom.

(17)
First-principles (GGA-PBE) data for a relaxed Tb2NdZn crystal, as listed in the Alexandria database.

Cell: 5.395 5.395 5.395 Å, 60.00 60.00 60.00°
Fractional coordinates of all 4 atoms:
Tb (0.250, 0.250, 0.250)
Tb (0.750, 0.750, 0.750)
Nd (0.000, 0.000, 0.000)
Zn (0.500, 0.500, 0.500)

Properties
Its final energy is -3.738 eV per atom. The density of states at the Fermi level is 5.615 states/eV per cell. The calculation puts the energy of formation from the pure elements at 0.09 eV/atom.

(18)
First-principles (GGA-PBE) data for a relaxed ErTcMo crystal, as listed in the Alexandria database.

Cell: 4.509 4.509 3.131 Å, 90.00 90.00 120.00°
Fractional coordinates of all 3 atoms:
Er (0.000, 0.000, 0.000)
Tc (0.333, 0.667, 0.372)
Mo (0.667, 0.333, 0.612)

Properties
Its final energy is -8.374 eV per atom. The density of states at the Fermi level is 2.581 states/eV per cell. The calculation puts the energy of formation from the pure elements at 0.21 eV/atom.

(19)
First-principles (GGA-PBE) data for a relaxed Mg2ReW crystal, as listed in the Alexandria database.

Cell: 4.966 4.966 2.706 Å, 90.00 90.00 90.00°
Fractional coordinates of all 4 atoms:
Mg (0.000, 0.500, 0.000)
Mg (0.500, 0.000, 0.000)
Re (0.000, 0.000, 0.500)
W (0.500, 0.500, 0.500)

Properties
Its final energy is -6.309 eV per atom. The density of states at the Fermi level is 4.919 states/eV per cell. The calculation puts the energy of formation from the pure elements at 0.84 eV/atom.

(20)
First-principles (GGA-PBE) data for a relaxed RbTl8Hg2 crystal, as listed in the Alexandria database.

Cell: 7.951 7.951 6.470 Å, 90.00 90.00 90.00°
Fractional coordinates of all 11 atoms:
Rb (0.000, 0.000, 0.000)
Tl (0.296, 0.296, 0.248)
Tl (0.296, 0.296, 0.752)
Tl (0.296, 0.704, 0.248)
Tl (0.296, 0.704, 0.752)
Tl (0.704, 0.296, 0.248)
Tl (0.704, 0.296, 0.752)
Tl (0.704, 0.704, 0.248)
Tl (0.704, 0.704, 0.752)
Hg (0.000, 0.500, 0.500)
Hg (0.500, 0.000, 0.500)

Properties
Its final energy is -1.762 eV per atom. The density of states at the Fermi level is 6.279 states/eV per cell. The calculation puts the energy of formation from the pure elements at 0.10 eV/atom.

(21)
First-principles (GGA-PBE) data for a relaxed ScHSN2 crystal, as listed in the Alexandria database.

Cell: 3.886 3.886 3.149 Å, 90.00 90.00 90.00°
Fractional coordinates of all 5 atoms:
Sc (0.000, 0.000, 0.000)
H (0.500, 0.500, 0.500)
S (0.500, 0.500, 0.000)
N (0.000, 0.500, 0.500)
N (0.500, 0.000, 0.500)

Properties
Its final energy is -5.336 eV per atom. The density of states at the Fermi level is 2.221 states/eV per cell.

(22)
First-principles (GGA-PBE) data for a relaxed SrPRu2 crystal, as listed in the Alexandria database.

Cell: 5.953 5.953 5.953 Å, 41.34 41.34 41.34°
Fractional coordinates of all 4 atoms:
Sr (0.000, 0.000, 0.000)
P (0.201, 0.201, 0.201)
Ru (0.502, 0.502, 0.502)
Ru (0.808, 0.808, 0.808)

Properties
Its final energy is -6.655 eV per atom. The density of states at the Fermi level is 3.722 states/eV per cell. The calculation puts the energy of formation from the pure elements at -0.24 eV/atom.

(23)
First-principles (GGA-PBE) data for a relaxed RePCl3 crystal, as listed in the Alexandria database.

Cell: 4.726 4.726 4.726 Å, 90.00 90.00 90.00°
Fractional coordinates of all 5 atoms:
Re (0.000, 0.000, 0.000)
P (0.500, 0.500, 0.500)
Cl (0.000, 0.000, 0.500)
Cl (0.000, 0.500, 0.000)
Cl (0.500, 0.000, 0.000)

Properties
Its final energy is -3.844 eV per atom. The density of states at the Fermi level is 4.906 states/eV per cell. The calculation puts the uncorrected formation energy at 0.835 eV per atom.